Here is SrIn3Ir after structural relaxation from Alexandria. Energies are from GGA-PBE.

Geometry as POSCAR:
```
SrIn3Ir
1.0
-0.904 -1.689 4.131
9.082 -0.946 1.600
0.341 11.030 4.585
Sr In Ir
4 12 4
direct
0.750 0.803 0.001
0.250 0.697 0.501
0.750 0.303 0.499
0.250 0.197 0.999
0.250 0.556 0.083
0.750 0.444 0.917
0.250 0.056 0.417
0.750 0.944 0.583
0.250 0.389 0.711
0.750 0.111 0.211
0.250 0.889 0.789
0.750 0.646 0.715
0.250 0.354 0.285
0.750 0.146 0.785
0.750 0.611 0.289
0.250 0.854 0.215
0.250 0.112 0.645
0.250 0.612 0.855
0.750 0.388 0.145
0.750 0.888 0.355
```

Properties
**Space-group type**: Pnma
**Crystal system**: orthorhombic
**DFT formation energy**: -358.7 meV/atom



Here is HfMn3Se after structural relaxation from Alexandria. Energies are from GGA-PBE.

Geometry as POSCAR:
```
HfMn3Se
1.0
-3.507 3.277 0.261
-2.961 -3.315 1.830
1.428 1.175 4.437
Mn Hf Se
3 1 1
direct
0.000 0.500 0.000
0.000 0.000 0.500
0.500 0.000 0.000
0.000 0.000 0.000
0.500 0.500 0.500
```

Properties
**Space-group type**: Pm-3m
**Crystal system**: cubic
**Raw total energy**: -6.833 eV per atom



Here is Cd2P2Au after structural relaxation from Alexandria. Energies are from GGA-PBE.

Geometry as POSCAR:
```
Cd2P2Au
1.0
-4.398 5.073 -2.355
1.410 -1.894 -6.712
-3.062 -2.612 0.094
P Au Cd
4 2 4
direct
0.318 0.818 0.000
0.818 0.682 0.000
0.682 0.182 0.000
0.182 0.318 0.000
0.000 0.000 0.000
0.500 0.500 0.000
0.143 0.643 0.500
0.643 0.857 0.500
0.857 0.357 0.500
0.357 0.143 0.500
```

Properties
**Space-group type**: P4/mbm
**Crystal system**: tetragonal
**DFT formation energy**: 236.6 meV/atom



Here is BaAg2RhF8 after structural relaxation from Alexandria. Energies are from GGA-PBE.

Geometry as POSCAR:
```
BaAg2RhF8
1.0
-0.704 -3.688 -3.688
-0.060 -4.986 1.683
-7.882 0.473 1.059
Ba Ag Rh F
1 2 1 8
direct
0.000 0.000 0.500
0.687 0.687 0.193
0.313 0.313 0.807
0.000 0.000 0.000
0.797 0.264 0.814
0.787 0.787 0.935
0.691 0.691 0.463
0.309 0.309 0.537
0.213 0.213 0.065
0.264 0.797 0.814
0.736 0.203 0.186
0.203 0.736 0.186
```

Properties
**Space-group type**: C2/m
**Crystal system**: monoclinic
**Raw total energy**: -4.386 eV per atom



Here is Pm8C3I3N after structural relaxation from Alexandria. Energies are from GGA-PBE.

Geometry as POSCAR:
```
Pm8C3I3N
1.0
7.592 -0.003 0.000
-3.799 6.583 -0.027
0.001 -4.359 7.689
Pm C I N
8 3 3 1
direct
0.275 0.551 0.327
0.725 0.449 0.673
0.776 0.552 0.326
0.224 0.448 0.674
0.776 0.050 0.326
0.224 0.950 0.674
0.274 0.050 0.326
0.726 0.950 0.674
0.500 0.000 0.500
0.500 0.500 0.500
0.000 0.500 0.500
0.000 0.000 0.000
0.000 0.500 0.000
0.500 0.500 0.000
0.000 0.000 0.500
```

Properties
**Space-group type**: C2/m
**Crystal system**: monoclinic
**Raw total energy**: -5.956 eV per atom



Here is FePd after structural relaxation from Alexandria. Energies are from GGA-PBE.

Geometry as POSCAR:
```
FePd
1.0
10.229 0.000 0.000
0.000 10.229 0.000
0.000 0.000 2.693
Fe Pd
8 8
direct
0.331 0.807 0.000
0.669 0.193 0.000
0.193 0.331 0.000
0.807 0.669 0.000
0.831 0.307 0.500
0.169 0.693 0.500
0.693 0.831 0.500
0.307 0.169 0.500
0.458 0.317 0.000
0.542 0.683 0.000
0.683 0.458 0.000
0.317 0.542 0.000
0.958 0.817 0.500
0.042 0.183 0.500
0.183 0.958 0.500
0.817 0.042 0.500
```

Properties
**Space-group type**: I4/m
**Crystal system**: tetragonal
**DFT formation energy**: 457.8 meV/atom